Entry from the Alexandria database: a geometry-optimized KPa2IO8 structure (PBE).

- D(E_F) (states/eV/f.u.) = 0.0
- E (eV/atom) = -7.410
- E_form (uncorrected) (eV/atom) = -2.301

Cell lengths 5.1679, 5.1631, 7.1946 Å; angles 90.00, 90.00, 88.15 degrees
Last column: nearest neighbours and their distance in Å.
Sites, in units of the cell vectors:
K (0.0000, 0.0000, 0.5000)  6 O 2.49-2.59
Pa (0.5000, 0.5000, 0.7480)  6 O 2.14-2.34
Pa (0.5000, 0.5000, 0.2520)  6 O 2.14-2.34
I (0.0000, 0.0000, 0.0000)  6 O 2.09-2.23
O (0.2053, 0.7933, 0.2044)  1 I 2.09, 1 Pa 2.14
O (0.6985, 0.6998, 0.0000)  1 I 2.23, 2 Pa 2.34
O (0.7946, 0.2066, 0.2044)  1 I 2.09, 1 Pa 2.14
O (0.7947, 0.2067, 0.7956)  1 I 2.09, 1 Pa 2.14
O (0.3015, 0.3001, 0.0000)  1 I 2.23, 2 Pa 2.34
O (0.2054, 0.7934, 0.7956)  1 I 2.09, 1 Pa 2.14
O (0.6642, 0.6657, 0.5000)  2 Pa 2.16
O (0.3358, 0.3343, 0.5000)  2 Pa 2.16